## Tl3Zn3Sn8 (PBE)

Data for Tl3Zn3Sn8 after structural relaxation.

```
data_Tl3Zn3Sn8
_cell_length_a 4.919
_cell_length_b 9.071
_cell_length_c 9.071
_cell_angle_alpha 76.41
_cell_angle_beta 75.03
_cell_angle_gamma 75.03
_space_group_name_H-M_alt 'P 1'
_space_group_IT_number 1
_space_group_name_Hall 'P 1'
loop_
_atom_site_label
_atom_site_type_symbol
_atom_site_fract_x
_atom_site_fract_y
_atom_site_fract_z
_atom_site_occupancy
Sn1 Sn 0.643 0.670 0.044 1
Sn2 Sn 0.123 0.225 0.530 1
Sn3 Sn 0.357 0.330 0.956 1
Sn4 Sn 0.123 0.530 0.225 1
Sn5 Sn 0.357 0.956 0.330 1
Sn6 Sn 0.877 0.775 0.470 1
Sn7 Sn 0.643 0.044 0.670 1
Sn8 Sn 0.877 0.470 0.775 1
Zn1 Zn 0.000 0.881 0.119 1
Zn2 Zn 0.500 0.000 0.000 1
Zn3 Zn 0.000 0.119 0.881 1
Tl1 Tl 0.500 0.500 0.500 1
Tl2 Tl 0.230 0.771 0.771 1
Tl3 Tl 0.770 0.229 0.229 1
```

Summary:
- Total energy: -3.020 eV/atom
- Total moment: 0.000 μB per formula unit
- Formation energy from the elements: 0.047 eV per atom


## TlZn2Sn (PBE)

Data for TlZn2Sn after structural relaxation.

```
data_TlZn2Sn
_cell_length_a 3.889
_cell_length_b 4.831
_cell_length_c 4.831
_cell_angle_alpha 90.00
_cell_angle_beta 90.00
_cell_angle_gamma 90.00
_space_group_name_H-M_alt 'P 1'
_space_group_IT_number 1
_space_group_name_Hall 'P 1'
loop_
_atom_site_label
_atom_site_type_symbol
_atom_site_fract_x
_atom_site_fract_y
_atom_site_fract_z
_atom_site_occupancy
Sn1 Sn 0.500 0.500 0.500 1
Zn1 Zn 0.000 0.500 0.000 1
Zn2 Zn 0.000 0.000 0.500 1
Tl1 Tl 0.500 0.000 0.000 1
```

Summary:
- Total energy: -2.045 eV/atom
- Total moment: 0.000 μB per formula unit
- Formation energy from the elements: 0.184 eV per atom


## TlZn2Sn2 (PBE)

Data for TlZn2Sn2 after structural relaxation.

```
data_TlZn2Sn2
_cell_length_a 4.530
_cell_length_b 4.530
_cell_length_c 6.897
_cell_angle_alpha 70.83
_cell_angle_beta 70.83
_cell_angle_gamma 90.00
_space_group_name_H-M_alt 'P 1'
_space_group_IT_number 1
_space_group_name_Hall 'P 1'
loop_
_atom_site_label
_atom_site_type_symbol
_atom_site_fract_x
_atom_site_fract_y
_atom_site_fract_z
_atom_site_occupancy
Sn1 Sn 0.250 0.750 0.500 1
Sn2 Sn 0.750 0.250 0.500 1
Tl1 Tl 0.000 0.000 0.000 1
Zn1 Zn 0.601 0.601 0.799 1
Zn2 Zn 0.399 0.399 0.201 1
```

Summary:
- Total energy: -2.514 eV/atom
- Total moment: 0.000 μB per formula unit
- Formation energy from the elements: 0.070 eV per atom


## TlZn2Sn (PBE)

Data for TlZn2Sn after structural relaxation.

```
data_TlZn2Sn
_cell_length_a 3.523
_cell_length_b 3.523
_cell_length_c 7.380
_cell_angle_alpha 90.00
_cell_angle_beta 90.00
_cell_angle_gamma 90.00
_space_group_name_H-M_alt 'P 1'
_space_group_IT_number 1
_space_group_name_Hall 'P 1'
loop_
_atom_site_label
_atom_site_type_symbol
_atom_site_fract_x
_atom_site_fract_y
_atom_site_fract_z
_atom_site_occupancy
Sn1 Sn 0.500 0.500 0.000 1
Zn1 Zn 0.000 0.000 0.762 1
Zn2 Zn 0.000 0.000 0.238 1
Tl1 Tl 0.500 0.500 0.500 1
```

Summary:
- Total energy: -2.064 eV/atom
- Total moment: 0.000 μB per formula unit
- Formation energy from the elements: 0.165 eV per atom


## Tl2ZnSn (PBE)

Data for Tl2ZnSn after structural relaxation.

```
data_Tl2ZnSn
_cell_length_a 4.483
_cell_length_b 4.483
_cell_length_c 6.978
_cell_angle_alpha 71.26
_cell_angle_beta 71.26
_cell_angle_gamma 60.00
_space_group_name_H-M_alt 'P 1'
_space_group_IT_number 1
_space_group_name_Hall 'P 1'
loop_
_atom_site_label
_atom_site_type_symbol
_atom_site_fract_x
_atom_site_fract_y
_atom_site_fract_z
_atom_site_occupancy
Sn1 Sn 0.503 0.503 0.490 1
Tl1 Tl 0.260 0.260 0.221 1
Tl2 Tl 0.072 0.072 0.784 1
Zn1 Zn 0.665 0.665 0.006 1
```

Summary:
- Total energy: -2.312 eV/atom
- Total moment: 0.000 μB per formula unit
- Formation energy from the elements: 0.190 eV per atom


## TlZn3Sn (PBE)

Data for TlZn3Sn after structural relaxation.

```
data_TlZn3Sn
_cell_length_a 5.268
_cell_length_b 5.268
_cell_length_c 5.268
_cell_angle_alpha 90.00
_cell_angle_beta 90.00
_cell_angle_gamma 90.00
_space_group_name_H-M_alt 'P 1'
_space_group_IT_number 1
_space_group_name_Hall 'P 1'
loop_
_atom_site_label
_atom_site_type_symbol
_atom_site_fract_x
_atom_site_fract_y
_atom_site_fract_z
_atom_site_occupancy
Tl1 Tl 0.500 0.500 0.500 1
Zn1 Zn 0.500 0.000 0.000 1
Zn2 Zn 0.000 0.000 0.500 1
Zn3 Zn 0.000 0.500 0.000 1
Sn1 Sn 0.000 0.000 0.000 1
```

Summary:
- Total energy: -1.631 eV/atom
- Total moment: 0.000 μB per formula unit
- Formation energy from the elements: 0.407 eV per atom


## TlZn2Sn2 (PBE)

Data for TlZn2Sn2 after structural relaxation.

```
data_TlZn2Sn2
_cell_length_a 8.400
_cell_length_b 8.400
_cell_length_c 3.372
_cell_angle_alpha 90.00
_cell_angle_beta 90.00
_cell_angle_gamma 90.00
_space_group_name_H-M_alt 'P 1'
_space_group_IT_number 1
_space_group_name_Hall 'P 1'
loop_
_atom_site_label
_atom_site_type_symbol
_atom_site_fract_x
_atom_site_fract_y
_atom_site_fract_z
_atom_site_occupancy
Tl1 Tl 0.000 0.000 0.000 1
Tl2 Tl 0.500 0.500 0.000 1
Sn1 Sn 0.829 0.329 0.500 1
Sn2 Sn 0.671 0.829 0.500 1
Sn3 Sn 0.329 0.171 0.500 1
Sn4 Sn 0.171 0.671 0.500 1
Zn1 Zn 0.878 0.622 0.000 1
Zn2 Zn 0.622 0.122 0.000 1
Zn3 Zn 0.122 0.378 0.000 1
Zn4 Zn 0.378 0.878 0.000 1
```

Summary:
- Total energy: -2.480 eV/atom
- Total moment: 0.000 μB per formula unit
- Formation energy from the elements: 0.104 eV per atom


## TlZn2Sn (PBE)

Data for TlZn2Sn after structural relaxation.

```
data_TlZn2Sn
_cell_length_a 4.693
_cell_length_b 4.693
_cell_length_c 9.574
_cell_angle_alpha 75.81
_cell_angle_beta 75.81
_cell_angle_gamma 90.00
_space_group_name_H-M_alt 'P 1'
_space_group_IT_number 1
_space_group_name_Hall 'P 1'
loop_
_atom_site_label
_atom_site_type_symbol
_atom_site_fract_x
_atom_site_fract_y
_atom_site_fract_z
_atom_site_occupancy
Sn1 Sn 0.500 0.500 0.000 1
Sn2 Sn 0.250 0.750 0.500 1
Zn1 Zn 0.133 0.625 0.250 1
Zn2 Zn 0.875 0.867 0.750 1
Zn3 Zn 0.617 0.125 0.250 1
Zn4 Zn 0.375 0.383 0.750 1
Tl1 Tl 0.000 0.000 0.000 1
Tl2 Tl 0.750 0.250 0.500 1
```

Summary:
- Total energy: -2.014 eV/atom
- Total moment: 0.000 μB per formula unit
- Formation energy from the elements: 0.215 eV per atom


## TlZn2Sn2 (PBE)

Data for TlZn2Sn2 after structural relaxation.

```
data_TlZn2Sn2
_cell_length_a 4.621
_cell_length_b 4.621
_cell_length_c 6.842
_cell_angle_alpha 70.26
_cell_angle_beta 70.26
_cell_angle_gamma 90.00
_space_group_name_H-M_alt 'P 1'
_space_group_IT_number 1
_space_group_name_Hall 'P 1'
loop_
_atom_site_label
_atom_site_type_symbol
_atom_site_fract_x
_atom_site_fract_y
_atom_site_fract_z
_atom_site_occupancy
Tl1 Tl 0.000 0.000 0.000 1
Zn1 Zn 0.250 0.750 0.500 1
Zn2 Zn 0.750 0.250 0.500 1
Sn1 Sn 0.380 0.380 0.241 1
Sn2 Sn 0.620 0.620 0.759 1
```

Summary:
- Total energy: -2.504 eV/atom
- Total moment: 0.000 μB per formula unit
- Formation energy from the elements: 0.080 eV per atom


## TlZn4Sn (PBE)

Data for TlZn4Sn after structural relaxation.

```
data_TlZn4Sn
_cell_length_a 5.546
_cell_length_b 5.546
_cell_length_c 5.546
_cell_angle_alpha 60.00
_cell_angle_beta 60.00
_cell_angle_gamma 60.00
_space_group_name_H-M_alt 'P 1'
_space_group_IT_number 1
_space_group_name_Hall 'P 1'
loop_
_atom_site_label
_atom_site_type_symbol
_atom_site_fract_x
_atom_site_fract_y
_atom_site_fract_z
_atom_site_occupancy
Zn1 Zn 0.124 0.625 0.625 1
Zn2 Zn 0.625 0.625 0.124 1
Zn3 Zn 0.625 0.124 0.625 1
Zn4 Zn 0.625 0.625 0.625 1
Sn1 Sn 0.000 0.000 0.000 1
Tl1 Tl 0.250 0.250 0.250 1
```

Summary:
- Total energy: -1.796 eV/atom
- Total moment: 0.000 μB per formula unit
- Formation energy from the elements: 0.115 eV per atom


## TlZn2Sn2 (PBE)

Data for TlZn2Sn2 after structural relaxation.

```
data_TlZn2Sn2
_cell_length_a 8.666
_cell_length_b 8.666
_cell_length_c 3.212
_cell_angle_alpha 90.00
_cell_angle_beta 90.00
_cell_angle_gamma 90.00
_space_group_name_H-M_alt 'P 1'
_space_group_IT_number 1
_space_group_name_Hall 'P 1'
loop_
_atom_site_label
_atom_site_type_symbol
_atom_site_fract_x
_atom_site_fract_y
_atom_site_fract_z
_atom_site_occupancy
Sn1 Sn 0.146 0.354 0.000 1
Sn2 Sn 0.646 0.146 0.000 1
Sn3 Sn 0.854 0.646 0.000 1
Sn4 Sn 0.354 0.854 0.000 1
Zn1 Zn 0.150 0.650 0.500 1
Zn2 Zn 0.650 0.850 0.500 1
Zn3 Zn 0.350 0.150 0.500 1
Zn4 Zn 0.850 0.350 0.500 1
Tl1 Tl 0.500 0.500 0.000 1
Tl2 Tl 0.000 0.000 0.000 1
```

Summary:
- Total energy: -2.451 eV/atom
- Total moment: 0.000 μB per formula unit
- Formation energy from the elements: 0.133 eV per atom


## ZrTl3Sn (PBE)

Data for ZrTl3Sn after structural relaxation.

```
data_ZrTl3Sn
_cell_length_a 5.645
_cell_length_b 5.645
_cell_length_c 5.645
_cell_angle_alpha 90.00
_cell_angle_beta 90.00
_cell_angle_gamma 90.00
_space_group_name_H-M_alt 'P 1'
_space_group_IT_number 1
_space_group_name_Hall 'P 1'
loop_
_atom_site_label
_atom_site_type_symbol
_atom_site_fract_x
_atom_site_fract_y
_atom_site_fract_z
_atom_site_occupancy
Tl1 Tl 0.000 0.000 0.500 1
Tl2 Tl 0.500 0.000 0.000 1
Tl3 Tl 0.000 0.500 0.000 1
Zr1 Zr 0.000 0.000 0.000 1
Sn1 Sn 0.500 0.500 0.500 1
```

Summary:
- Total energy: -3.371 eV/atom
- Total moment: 0.000 μB per formula unit
- Formation energy from the elements: 0.559 eV per atom